1.
The following is a PBE calculation of an optimized crystal structure of Tb2CeTmTl4, from Alexandria via LeMat-Bulk.

Output
Crystal system   trigonal
Total magnetization   3.018 μB per cell
Calculated total energy   -3.94 eV/atom
Energy of formation   -0.298 eV per atom

Geometry as CIF:
```
data_Tb2CeTmTl4
_chemical_formula_sum 'Tb6 Ce3 Tm3 Tl12'
_cell_length_a 5.3914
_cell_length_b 5.3914
_cell_length_c 26.6707
_cell_angle_alpha 90.00
_cell_angle_beta 90.00
_cell_angle_gamma 120.00
_symmetry_space_group_name_H-M 'R -3 m'
_symmetry_Int_Tables_number 166
_symmetry_space_group_name_Hall '-R 3 2"'
loop_
_atom_site_label
_atom_site_fract_x
_atom_site_fract_y
_atom_site_fract_z
Tb1 0.0000 0.0000 0.2488
Ce1 0.0000 0.0000 0.0000
Tm1 0.0000 0.0000 0.5000
Tl1 0.0000 0.0000 0.1265
Tl2 0.0000 0.0000 0.3769
```

=====

2.
The following is a PBE calculation of an optimized crystal structure of TbCeTm2Tl4, from Alexandria via LeMat-Bulk.

Output
Crystal system   trigonal
Total magnetization   3.166 μB per cell
Calculated total energy   -3.91 eV/atom
Energy of formation   -0.289 eV per atom

Geometry as CIF:
```
data_TbCeTm2Tl4
_chemical_formula_sum 'Tb3 Ce3 Tm6 Tl12'
_cell_length_a 5.3755
_cell_length_b 5.3755
_cell_length_c 26.4957
_cell_angle_alpha 90.00
_cell_angle_beta 90.00
_cell_angle_gamma 120.00
_symmetry_space_group_name_H-M 'R -3 m'
_symmetry_Int_Tables_number 166
_symmetry_space_group_name_Hall '-R 3 2"'
loop_
_atom_site_label
_atom_site_fract_x
_atom_site_fract_y
_atom_site_fract_z
Tb1 0.0000 0.0000 0.0000
Ce1 0.0000 0.0000 0.5000
Tm1 0.0000 0.0000 0.2504
Tl1 0.0000 0.0000 0.1235
Tl2 0.0000 0.0000 0.3739
```

=====

- calculated total energy of number 2 (TbCeTm2Tl4)?
  -3.91 eV/atom

=====

- What is the total magnetization in the second record?
  3.166 μB per cell